Record 1
Material: CsThU2S8
Method: DFT, GGA-PBE
State: relaxed

Computed properties:
formation energy (no corrections): -1.32 eV/atom
uncorrected energy: -6.640 eV per atom

a = 7.233 Å, b = 7.233 Å, c = 9.352 Å
α = 67.25°, β = 67.25°, γ = 60.00°
Site moments in Bohr magnetons follow the coordinates.
Atoms (fractional coordinates):
U (0.309, 0.309, 0.072)  0.74
U (0.691, 0.691, 0.928)  0.74
S (0.364, 0.678, 0.860)  -0.03
S (0.636, 0.322, 0.140)  -0.03
S (0.787, 0.787, 0.640)  -0.08
S (0.213, 0.213, 0.360)  -0.08
S (0.098, 0.364, 0.860)  -0.03
S (0.678, 0.098, 0.860)  -0.03
S (0.322, 0.902, 0.140)  -0.03
S (0.902, 0.636, 0.140)  -0.03
Th (0.000, 0.000, 0.000)  0.00
Cs (0.500, 0.500, 0.500)  0.00



Record 2
Material: CsThUS4
Method: DFT, GGA-PBE
State: relaxed

Computed properties:
formation energy (no corrections): -1.52 eV/atom
uncorrected energy: -6.672 eV per atom

a = 8.615 Å, b = 8.714 Å, c = 8.797 Å
α = 120.32°, β = 90.00°, γ = 119.63°
Site moments in Bohr magnetons follow the coordinates.
Atoms (fractional coordinates):
S (0.728, 0.047, 0.273)  -0.02
S (0.725, 0.451, 0.276)  -0.04
S (0.275, 0.549, 0.326)  -0.04
S (0.681, 0.953, 0.727)  -0.02
S (0.275, 0.549, 0.724)  -0.04
S (0.725, 0.451, 0.674)  -0.04
S (0.272, 0.953, 0.727)  -0.02
S (0.319, 0.047, 0.273)  -0.02
U (0.500, 0.500, 0.500)  2.61
U (0.000, 0.500, 0.500)  2.61
Th (0.500, 0.000, 0.000)  0.14
Th (0.500, 0.000, 0.500)  0.14
Cs (0.868, 0.736, 0.118)  0.00
Cs (0.132, 0.264, 0.882)  0.00



Record 3
Material: Cs2YThS4
Method: DFT, GGA-PBE
State: relaxed

Computed properties:
formation energy (no corrections): -1.74 eV/atom
uncorrected energy: -5.752 eV per atom

a = 4.151 Å, b = 7.159 Å, c = 8.456 Å
α = 106.43°, β = 90.00°, γ = 90.00°
Atoms (fractional coordinates):
Y (0.000, 0.000, 0.000)
Cs (0.500, 0.000, 0.500)
Cs (0.000, 0.500, 0.500)
S (0.500, 0.774, 0.816)
S (0.000, 0.733, 0.187)
S (0.000, 0.267, 0.813)
S (0.500, 0.226, 0.184)
Th (0.500, 0.500, 0.000)



Record 4
Material: Cs3YTh2S6
Method: DFT, GGA-PBE
State: relaxed

Computed properties:
formation energy (no corrections): -1.71 eV/atom
uncorrected energy: -5.759 eV per atom

a = 7.186 Å, b = 7.186 Å, c = 8.482 Å
α = 98.12°, β = 98.12°, γ = 120.00°
Atoms (fractional coordinates):
S (0.732, 0.732, 0.187)
S (0.938, 0.607, 0.813)
S (0.393, 0.062, 0.187)
S (0.062, 0.393, 0.187)
S (0.268, 0.268, 0.813)
S (0.607, 0.938, 0.813)
Y (0.000, 0.000, 0.000)
Th (0.333, 0.667, 0.000)
Th (0.667, 0.333, 0.000)
Cs (0.500, 0.500, 0.500)
Cs (0.167, 0.833, 0.500)
Cs (0.833, 0.167, 0.500)



> Among the records above, which one has the lowest formation energy (no corrections)?

Cs2YThS4